NiAgO2F: relaxed, PBE with a Hubbard U.

Lattice parameters (Å, degrees): 3.823 3.823 3.951 90.00 90.00 90.00
Atoms (fractional coordinates):
Ni (0.000, 0.000, 0.000)
O (0.000, 0.500, 0.000)
O (0.500, 0.000, 0.000)
Ag (0.500, 0.500, 0.500)
F (0.000, 0.000, 0.500)

Output
As for the crystal system: tetragonal. For the size of the total moment, the calculation gives 2.75 μB per cell. The symmetry is P4/mmm. The calculation puts the final energy at -3.910 eV per atom.